Entry 1:
Below is a geometry-optimized K4AuBr2 structure, with properties calculated at the PBE level.

Values from the calculation:
As for the calculated total energy: -2.480 eV per atom. As for the distance to the lowest polymorph of the same formula: 126 meV per atom. The total magnetization is 0.0 μB/cell.

Cell: 6.2143 6.2143 17.0735 Å, 90.00 90.00 90.00°
Closest atoms and distances in Å follow each position.
Space group I4/mmm (No. 139)
Inequivalent atoms, fractional coordinates:
K (0.0000, 0.0000, 0.1997)  1 Br 3.15, 1 Au 3.41
K (0.0000, 0.5000, 0.0000)  2 Au 3.11
Au (0.0000, 0.0000, 0.0000)  6 K 3.11-3.41
Br (0.0000, 0.0000, 0.3843)  1 K 3.15

=====

Entry 2:
Below is a geometry-optimized LuScMo4 structure, with properties calculated at the PBE level.

Values from the calculation:
As for the calculated total energy: -9.028 eV per atom. The value obtained for the formation energy is 0.00 eV/atom. The total magnetization is 0.0 μB/cell.

Cell: 7.6684 7.6684 7.6684 Å, 90.00 90.00 90.00°
Closest atoms and distances in Å follow each position.
Space group F-43m (No. 216)
Inequivalent atoms, fractional coordinates:
Lu (0.0000, 0.0000, 0.0000)  12 Mo 3.18, 4 Sc 3.32
Sc (0.2500, 0.2500, 0.7500)  12 Mo 3.18, 4 Lu 3.32
Mo (0.1250, 0.1250, 0.3750)  6 Mo 2.71

=====

Entry 3:
Below is a geometry-optimized Al6FeNi5 structure, with properties calculated at the PBE level.

Values from the calculation:
As for the calculated total energy: -5.588 eV per atom. The value obtained for the formation energy is -0.60 eV/atom. The total magnetization is 2.4 μB/cell.

Cell: 4.0712 12.2188 5.8164 Å, 90.00 90.00 90.00°
Closest atoms and distances in Å follow each position.
Space group Cmmm (No. 65)
Inequivalent atoms, fractional coordinates:
Al (0.0000, 0.0000, 0.2485)  2 Fe 2.50, 6 Ni 2.51-2.54
Al (0.0000, 0.3349, 0.2489)  1 Fe 2.48, 7 Ni 2.49-2.51
Fe (0.0000, 0.5000, 0.0000)  8 Al 2.48-2.50
Ni (0.0000, 0.1676, 0.0000)  8 Al 2.50-2.51
Ni (0.0000, 0.1697, 0.5000)  8 Al 2.49-2.54
Ni (0.0000, 0.5000, 0.5000)  8 Al 2.49-2.51

=====

Entry 4:
Below is a geometry-optimized PuPa3Tl4O12 structure, with properties calculated at the PBE level.

Values from the calculation:
As for the calculated total energy: -8.187 eV per atom. The total magnetization is 6.0 μB/cell.

Cell: 8.7675 8.7675 8.7675 Å, 90.00 90.00 90.00°
Closest atoms and distances in Å follow each position.
Space group Im-3m (No. 229)
Inequivalent atoms, fractional coordinates:
Pu (0.0000, 0.0000, 0.0000)  6 O 2.17
Pa (0.0000, 0.0000, 0.5000)  6 O 2.19-2.21
Tl (0.2500, 0.2500, 0.2500)  12 O 3.10
O (0.0000, 0.0000, 0.2477)  1 Pu 2.17, 1 Pa 2.21
O (0.0000, 0.2500, 0.5000)  2 Pa 2.19

=====

Entry 5:
Below is a geometry-optimized Pm3HfO structure, with properties calculated at the PBE level.

Values from the calculation:
As for the calculated total energy: -6.849 eV per atom. The total magnetization is 0.0 μB/cell.

Cell: 4.9512 4.9512 4.9512 Å, 90.00 90.00 90.00°
Closest atoms and distances in Å follow each position.
Space group Pm-3m (No. 221)
Inequivalent atoms, fractional coordinates:
Pm (0.0000, 0.0000, 0.5000)  2 O 2.48
Hf (0.5000, 0.5000, 0.5000)  12 Pm 3.50
O (0.0000, 0.0000, 0.0000)  6 Pm 2.48

=====

Entry 6:
Below is a geometry-optimized LiFeSe3 structure, with properties calculated at the PBE level.

Values from the calculation:
As for the calculated total energy: -4.107 eV per atom. As for the distance to the lowest polymorph of the same formula: 0 meV per atom. The total magnetization is 0.0 μB/cell.

Cell: 4.7454 4.7454 4.7454 Å, 90.00 90.00 90.00°
Closest atoms and distances in Å follow each position.
Space group Pm-3m (No. 221)
Inequivalent atoms, fractional coordinates:
Li (0.0000, 0.0000, 0.0000)  12 Se 3.36
Fe (0.5000, 0.5000, 0.5000)  6 Se 2.37
Se (0.0000, 0.5000, 0.5000)  2 Fe 2.37

=====

Entry 7:
Below is a geometry-optimized HfTl2C structure, with properties calculated at the PBE level.

Values from the calculation:
As for the calculated total energy: -5.152 eV per atom. The value obtained for the formation energy is 0.83 eV/atom. As for the distance to the lowest polymorph of the same formula: 0 meV per atom. The total magnetization is 0.0 μB/cell.

Cell: 9.1465 9.1465 4.4182 Å, 90.00 90.00 90.00°
Closest atoms and distances in Å follow each position.
Space group I-42d (No. 122)
Inequivalent atoms, fractional coordinates:
Hf (0.0000, 0.0000, 0.0000)  2 C 2.21
Tl (0.1280, 0.2500, 0.6250)  2 C 2.63
C (0.0000, 0.0000, 0.5000)  2 Hf 2.21

=====

Entry 8:
Below is a geometry-optimized TbCeHo14 structure, with properties calculated at the PBE level.

Values from the calculation:
As for the calculated total energy: -4.637 eV per atom. The value obtained for the formation energy is 0.03 eV/atom. The total magnetization is 0.9 μB/cell.

Cell: 7.0522 7.0522 9.9771 Å, 90.00 90.00 90.00°
Closest atoms and distances in Å follow each position.
Space group P4/mmm (No. 123)
Inequivalent atoms, fractional coordinates:
Tb (0.0000, 0.0000, 0.0000)  12 Ho 3.53-3.54
Ce (0.5000, 0.5000, 0.0000)  12 Ho 3.52-3.53
Ho (0.0000, 0.0000, 0.5000)  12 Ho 3.53
Ho (0.0000, 0.5000, 0.0000)  2 Ce 3.53, 2 Tb 3.53, 8 Ho 3.53
Ho (0.0000, 0.5000, 0.5000)  12 Ho 3.52-3.53
Ho (0.2510, 0.2510, 0.2503)  10 Ho 3.51-3.54, 1 Ce 3.52, 1 Tb 3.54
Ho (0.5000, 0.5000, 0.5000)  12 Ho 3.52-3.53

=====

Entry 9:
Below is a geometry-optimized KUTlCl6 structure, with properties calculated at the PBE level.

Values from the calculation:
As for the calculated total energy: -4.538 eV per atom. The total magnetization is 4.0 μB/cell.

Cell: 7.7271 7.7271 12.8301 Å, 90.00 90.00 120.00°
Closest atoms and distances in Å follow each position.
Space group P-31c (No. 163)
Inequivalent atoms, fractional coordinates:
K (0.3333, 0.6667, 0.2500)  6 Cl 3.18
U (0.3333, 0.6667, 0.7500)  6 Cl 2.64
Tl (0.0000, 0.0000, 0.0000)  6 Cl 3.29
Cl (0.0527, 0.3882, 0.6322)  1 U 2.64

=====

Entry 10:
Below is a geometry-optimized SmDy2Bi structure, with properties calculated at the PBE level.

Values from the calculation:
As for the calculated total energy: -4.429 eV per atom. The value obtained for the formation energy is 0.02 eV/atom. As for the distance to the lowest polymorph of the same formula: 469 meV per atom. The total magnetization is 0.0 μB/cell.

Cell: 3.5598 3.5598 36.2063 Å, 90.00 90.00 120.00°
Closest atoms and distances in Å follow each position.
Space group R-3m (No. 166, hexagonal axes)
Inequivalent atoms, fractional coordinates:
Sm (0.0000, 0.0000, 0.0000)  6 Dy 3.54, 6 Sm 3.56
Dy (0.0000, 0.0000, 0.4129)  1 Bi 3.15
Bi (0.0000, 0.0000, 0.5000)  2 Dy 3.15

=====

Entry 11:
Below is a geometry-optimized InSnRh2 structure, with properties calculated at the PBE level.

Values from the calculation:
As for the calculated total energy: -5.600 eV per atom. The value obtained for the formation energy is -0.24 eV/atom. The total magnetization is 0.0 μB/cell.

Cell: 4.0381 4.0381 16.7038 Å, 90.00 90.00 120.00°
Closest atoms and distances in Å follow each position.
Space group R3m (No. 160, hexagonal axes)
Inequivalent atoms, fractional coordinates:
In (0.0000, 0.0000, 0.0000)  6 Rh 2.74-2.84, 1 Sn 2.95
Sn (0.0000, 0.0000, 0.1767)  6 Rh 2.61-2.68
Rh (0.0000, 0.0000, 0.5803)  3 Sn 2.61, 3 In 2.74
Rh (0.0000, 0.0000, 0.7642)  3 Sn 2.68, 3 In 2.84

=====

Entry 12:
Below is a geometry-optimized LaMnTl2 structure, with properties calculated at the PBE level.

Values from the calculation:
As for the calculated total energy: -4.537 eV per atom. The value obtained for the formation energy is 0.17 eV/atom. The total magnetization is 15.8 μB/cell.

Cell: 7.5110 7.5110 7.5110 Å, 90.00 90.00 90.00°
Closest atoms and distances in Å follow each position.
Space group F-43m (No. 216)
Inequivalent atoms, fractional coordinates:
La (0.0000, 0.0000, 0.0000)  4 Mn 3.25, 4 Tl 3.25
Mn (0.2500, 0.2500, 0.2500)  4 Tl 3.25, 4 La 3.25
Tl (0.0000, 0.0000, 0.5000)  4 Tl 3.25, 4 Mn 3.25
Tl (0.2500, 0.2500, 0.7500)  4 Tl 3.25, 4 La 3.25

=====

Entry 13:
Below is a geometry-optimized La5H12Ru2 structure, with properties calculated at the PBE level.

Values from the calculation:
As for the calculated total energy: -4.814 eV per atom. The total magnetization is 0.0 μB/cell.

Cell: 11.8610 5.8980 7.6247 Å, 90.00 104.62 90.00°
Closest atoms and distances in Å follow each position.
Space group C2/m (No. 12)
Inequivalent atoms, fractional coordinates:
La (0.0000, 0.0000, 0.0000)  6 H 2.42-2.66
La (0.1590, 0.5000, 0.8518)  7 H 2.29-2.46
La (0.1959, 0.5000, 0.3445)  7 H 2.29-2.45
H (0.0090, 0.5000, 0.3762)  2 Ru 1.81, 1 H 1.95
H (0.0118, 0.0000, 0.3534)  2 Ru 1.83
H (0.1505, 0.2637, 0.5827)  1 Ru 1.74
H (0.1711, 0.2358, 0.0978)  4 La 2.40-2.42, 1 H 2.68
Ru (0.0000, 0.2406, 0.5000)  6 H 1.74-1.83

=====

Entry 14:
Below is a geometry-optimized Cs2TlSiF8 structure, with properties calculated at the PBE level.

Values from the calculation:
As for the calculated total energy: -4.587 eV per atom. The total magnetization is 1.0 μB/cell.

Cell: 6.0521 6.0521 7.5678 Å, 90.00 90.00 120.00°
Closest atoms and distances in Å follow each position.
Space group P-3m1 (No. 164)
Inequivalent atoms, fractional coordinates:
Cs (0.3333, 0.6667, 0.3114)  1 F 2.71
Tl (0.0000, 0.0000, 0.0000)  6 F 3.12
Si (0.0000, 0.0000, 0.5000)  6 F 1.72
F (0.1335, 0.2670, 0.6321)  1 Si 1.72
F (0.3333, 0.6667, 0.9530)  1 Cs 2.71

=====

Entry 15:
Below is a geometry-optimized Pm2HoThSb5 structure, with properties calculated at the PBE level.

Values from the calculation:
As for the calculated total energy: -4.935 eV per atom. The total magnetization is 0.0 μB/cell.

Cell: 5.2344 5.2344 11.8612 Å, 90.00 90.00 90.00°
Closest atoms and distances in Å follow each position.
Space group P4/mmm (No. 123)
Inequivalent atoms, fractional coordinates:
Pm (0.0000, 0.0000, 0.2148)  9 Sb 3.38-3.73
Ho (0.5000, 0.5000, 0.0000)  4 Sb 2.62
Th (0.5000, 0.5000, 0.5000)  2 Sb 2.96
Sb (0.0000, 0.0000, 0.5000)  2 Pm 3.38, 4 Th 3.70
Sb (0.0000, 0.5000, 0.0000)  2 Ho 2.62
Sb (0.5000, 0.5000, 0.2505)  1 Th 2.96, 1 Ho 2.97

=====

Entry 16:
Below is a geometry-optimized Ga2SnW structure, with properties calculated at the PBE level.

Values from the calculation:
As for the calculated total energy: -5.189 eV per atom. The value obtained for the formation energy is 0.56 eV/atom. The total magnetization is 0.0 μB/cell.

Cell: 4.0387 4.0387 19.2595 Å, 90.00 90.00 90.00°
Closest atoms and distances in Å follow each position.
Space group I-42d (No. 122)
Inequivalent atoms, fractional coordinates:
Ga (0.2040, 0.2500, 0.1250)  2 Ga 2.61, 2 W 2.74, 2 Sn 2.87
Sn (0.0000, 0.0000, 0.5000)  4 W 2.86, 4 Ga 2.87
W (0.0000, 0.0000, 0.0000)  4 Ga 2.74, 4 Sn 2.86